GGA-PBEsol CaReRu2, relaxed; crystal system = tetragonal; density of states at the Fermi level = 3.271 states/eV/cell; energy of formation = 0.485 eV/atom
1.0
-1.9707 -2.1278 0.5314
1.2451 -2.1161 -3.8553
3.1636 -2.3523 2.3129
Ru Ca Re
2 1 1
Direct
0.0000 0.0000 0.5000
0.0000 0.5000 0.0000
0.5000 0.5000 0.5000
0.5000 0.0000 0.0000


GGA-PBEsol Ca2ReRu, relaxed; crystal system = monoclinic; density of states at the Fermi level = 3.022 states/eV/cell; energy of formation = 0.759 eV/atom
1.0
2.9248 0.0000 -0.0013
0.0000 4.7581 0.0000
-0.6310 0.0000 5.2477
Ca Ru Re
2 1 1
Direct
0.0379 0.0000 0.2536
0.9621 0.0000 0.7464
0.5000 0.5000 0.5000
0.5000 0.5000 0.0000


GGA-PBEsol CaReRu, relaxed; crystal system = cubic; density of states at the Fermi level = 2.750 states/eV/cell; energy of formation = 0.879 eV/atom
1.0
-1.3788 3.7887 1.5761
-3.1807 2.1483 -2.0018
-3.9091 0.2860 1.8376
Re Ca Ru
1 1 1
Direct
0.5000 0.5000 0.5000
0.0000 0.0000 0.0000
0.7500 0.7500 0.7500


GGA-PBEsol CaReRu2Se, relaxed; crystal system = tetragonal; density of states at the Fermi level = 6.158 states/eV/cell; electronic total energy = -26.69 eV per formula unit
1.0
4.4457 0.0000 0.0000
0.0000 4.4457 0.0000
0.0000 0.0000 4.8851
Ca Re Se Ru
1 1 1 2
Direct
0.0000 0.0000 0.0000
0.5000 0.5000 0.5000
0.0000 0.0000 0.5000
0.5000 0.0000 0.0000
0.0000 0.5000 0.0000


GGA-PBEsol Ca2ReS2, relaxed; crystal system = tetragonal; density of states at the Fermi level = 3.877 states/eV/cell; electronic total energy = -28.94 eV per formula unit
1.0
-1.3479 -4.8660 2.0684
0.9424 0.4427 -5.3562
3.7680 -3.9418 0.1940
Ca Re S
2 1 2
Direct
0.5000 0.2500 0.2500
0.5000 0.7500 0.7500
0.0000 0.0000 0.0000
0.0000 0.2930 0.7070
0.0000 0.7070 0.2930


GGA-PBEsol CaReSb, relaxed; crystal system = trigonal; density of states at the Fermi level = 4.069 states/eV/cell; electronic total energy = -18.76 eV per formula unit
1.0
3.3290 0.0000 0.0000
-1.6645 2.8830 0.0000
0.0000 0.0000 6.8480
Re Ca Sb
1 1 1
Direct
0.6667 0.3333 0.6432
0.0000 0.0000 0.9823
0.3333 0.6667 0.3746